Pm12Pr2Er5 | PBE-GGA | relaxed

Computed properties:
- ρ (Mg/m³) = 7.273
- calculated total energy (eV per atom) = -4.506
- energy of formation (eV/f.u.) = 3.8
- energy relative to the lowest polymorph listed for this composition (meV/atom) = 85.8

a b c (Å): 15.9759 9.3366 8.9216
angles (deg): 90.00 101.26 90.00
Last column: nearest neighbours and their distance in Å.
Space group C2/m (No. 12)
Symmetry-distinct sites (fractional):
Pm 0.0188 0.0000 0.1716 x4  3 Pm 3.00-3.32
Pm 0.0794 0.5000 0.4154 x4  3 Pm 3.20-3.39, 2 Pr 3.42
Pm 0.1199 0.3100 0.8004 x8  1 Pr 3.23, 2 Er 3.36-3.38, 2 Pm 3.44-3.55
Pm 0.1706 0.2484 0.2242 x8  3 Pm 3.32-3.44, 4 Er 3.48-3.66
Pr 0.0000 0.1758 0.5000 x4  6 Pm 3.23-3.42, 1 Pr 3.28, 2 Er 3.44
Er 0.0000 0.5000 0.0000 x2  6 Pm 3.36-3.68
Er 0.1927 0.0000 0.5473 x4  2 Pr 3.44, 1 Er 3.45, 5 Pm 3.56-3.66
Er 0.2140 0.0000 0.9398 x4  9 Pm 3.38-3.66, 1 Er 3.45

Pm6Pr5Er2 | PBE-GGA | relaxed

Computed properties:
- ρ (Mg/m³) = 6.977
- calculated total energy (eV per atom) = -4.643
- energy of formation (eV/f.u.) = 1.2

a b c (Å): 11.8172 21.0121 3.6595
angles (deg): 90.00 90.00 90.00
Last column: nearest neighbours and their distance in Å.
Space group Pbam (No. 55)
Symmetry-distinct sites (fractional):
Pm 0.0639 0.0809 0.0000 x4  6 Pr 3.59-3.72, 5 Pm 3.66-3.81, 1 Er 3.88
Pm 0.0825 0.3681 0.0000 x4  1 Er 3.36, 6 Pr 3.46-3.58, 4 Pm 3.54-3.66
Pm 0.1737 0.6396 0.5000 x4  2 Pr 3.38-3.58, 4 Pm 3.54-3.66, 2 Er 3.64
Pr 0.0000 0.5000 0.5000 x2  6 Pm 3.46-3.58, 4 Pr 3.66-3.76
Pr 0.0859 0.2271 0.5000 x4  5 Pm 3.38-3.59, 4 Er 3.55-3.66, 2 Pr 3.66
Pr 0.1969 0.9459 0.5000 x4  6 Pm 3.58-3.72, 3 Pr 3.66-3.76, 2 Er 3.78
Er 0.1700 0.7895 0.0000 x4  3 Pm 3.36-3.64, 4 Pr 3.55-3.66, 2 Er 3.66

Pm7Pr3Er2 | PBE-GGA | relaxed

Computed properties:
- ρ (Mg/m³) = 7.101
- calculated total energy (eV per atom) = -4.640
- energy of formation (eV/f.u.) = 1.0
- energy relative to the lowest polymorph listed for this composition (meV/atom) = 9.3

a b c (Å): 5.9547 3.6278 19.2126
angles (deg): 90.00 93.05 90.00
Last column: nearest neighbours and their distance in Å.
Space group P2/m (No. 10)
Symmetry-distinct sites (fractional):
Pm 0.0000 0.0000 0.0000 x1  4 Pm 3.44-3.63, 4 Pr 3.49
Pm 0.1901 0.5000 0.1806 x2  6 Pm 3.53-3.63, 2 Er 3.69-3.70
Pm 0.2568 0.5000 0.5358 x2  1 Er 3.25, 4 Pm 3.27-3.63
Pm 0.3116 0.0000 0.8542 x2  2 Er 3.39, 7 Pm 3.44-3.63, 2 Pr 3.47
Pr 0.2194 0.0000 0.3659 x2  2 Pr 3.63, 4 Er 3.73-3.76, 8 Pm 3.73-4.00
Pr 0.5000 0.5000 0.0000 x1  8 Pm 3.47-3.49, 2 Pr 3.63
Er 0.2892 0.5000 0.7051 x2  3 Pm 3.25-3.39, 2 Er 3.63

PmPr6Er2 | PBE-GGA | relaxed

Computed properties:
- ρ (Mg/m³) = 7.042
- calculated total energy (eV per atom) = -4.713
- energy of formation (eV/f.u.) = 0.1
- energy relative to the lowest polymorph listed for this composition (meV/atom) = 0.0

a b c (Å): 10.9661 10.9661 5.1964
angles (deg): 90.00 90.00 90.00
Last column: nearest neighbours and their distance in Å.
Space group P4_2/mnm (No. 136)
Symmetry-distinct sites (fractional):
Pm 0.0000 0.0000 0.0000 x2  8 Pr 3.63-3.65, 4 Er 3.67
Pr 0.0008 0.3314 0.0000 x8  1 Pm 3.63, 3 Er 3.64-3.66, 8 Pr 3.65-3.70
Pr 0.1652 0.1652 0.5000 x4  4 Er 3.64-3.68, 2 Pm 3.65, 6 Pr 3.65-3.68
Er 0.1670 0.8330 0.5000 x4  10 Pr 3.64-3.68, 2 Pm 3.67